Record 1
# Y2ZnCo2Ni5 | Alexandria via LeMat-Bulk | GGA-PBE | optimized geometry
# DOS(E_F) ... 1.14 states/eV/atom
# Energy ... -5.893 eV per atom
# DFT formation energy ... -161 meV/atom
# Magnetization ... 2.7 μB/f.u.
data_Y2ZnCo2Ni5
_chemical_formula_sum 'Y4 Zn2 Co4 Ni10'
_space_group_name_H-M_alt 'P 4/m b m'
_space_group_IT_number 127
_space_group_name_Hall '-P 4 2ab'
_cell_length_a 8.742
_cell_length_b 8.742
_cell_length_c 3.777
_cell_angle_alpha 90.00
_cell_angle_beta 90.00
_cell_angle_gamma 90.00
loop_
_atom_site_label
_atom_site_fract_x
_atom_site_fract_y
_atom_site_fract_z
Y1 0.180 0.320 0.000
Zn1 0.000 0.000 0.000
Co1 0.116 0.616 0.000
Ni1 0.000 0.500 0.500
Ni2 0.061 0.792 0.500

=====

Record 2
# Ti4CuGe3 | Alexandria via LeMat-Bulk | GGA-PBE | optimized geometry
# DOS(E_F) ... 1.04 states/eV/atom
# Energy ... -6.739 eV per atom
# DFT formation energy ... -548 meV/atom
# Magnetization ... 0.0 μB/f.u.
data_Ti4CuGe3
_chemical_formula_sum 'Ti16 Cu4 Ge12'
_space_group_name_H-M_alt 'I 4/m c m'
_space_group_IT_number 140
_space_group_name_Hall '-I 4 2c'
_cell_length_a 9.949
_cell_length_b 9.949
_cell_length_c 5.006
_cell_angle_alpha 90.00
_cell_angle_beta 90.00
_cell_angle_gamma 90.00
loop_
_atom_site_label
_atom_site_fract_x
_atom_site_fract_y
_atom_site_fract_z
Ti1 0.082 0.219 0.000
Cu1 0.000 0.500 0.250
Ge1 0.000 0.000 0.250
Ge2 0.156 0.344 0.500

=====

Record 3
# CsK2HfCr | Alexandria via LeMat-Bulk | GGA-PBE | optimized geometry
# DOS(E_F) ... 2.09 states/eV/atom
# Energy ... -2.800 eV per atom
# DFT formation energy ... 1725 meV/atom
# Magnetization ... 9.0 μB/f.u.
data_CsK2HfCr
_chemical_formula_sum 'Cs1 K2 Hf1 Cr1'
_space_group_name_H-M_alt 'P 4/m m m'
_space_group_IT_number 123
_space_group_name_Hall '-P 4 2'
_cell_length_a 7.233
_cell_length_b 7.233
_cell_length_c 7.458
_cell_angle_alpha 90.00
_cell_angle_beta 90.00
_cell_angle_gamma 90.00
loop_
_atom_site_label
_atom_site_fract_x
_atom_site_fract_y
_atom_site_fract_z
Cs1 0.000 0.000 0.000
K1 0.000 0.500 0.500
Hf1 0.000 0.000 0.500
Cr1 0.500 0.500 0.000

=====

Record 4
# BeInSb | Alexandria via LeMat-Bulk | GGA-PBE | optimized geometry
# Formation energy from raw total energies ... 0.194 eV per atom
# DOS(E_F) ... 0.06 states/eV/atom
# Energy ... -3.335 eV per atom
# ΔE to the lowest computed polymorph ... 0 meV/atom
# Magnetization ... 0.0 μB/f.u.
data_BeInSb
_chemical_formula_sum 'Be1 In1 Sb1'
_space_group_name_H-M_alt 'P 3 m 1'
_space_group_IT_number 156
_cell_length_a 4.1596
_cell_length_b 4.1596
_cell_length_c 4.9700
_cell_angle_alpha 90.00
_cell_angle_beta 90.00
_cell_angle_gamma 120.00
loop_
_space_group_symop_operation_xyz
'x,y,z'
'-y,x-y,z'
'-x+y,-x,z'
'-y,-x,z'
'-x+y,y,z'
'x,x-y,z'
loop_
_atom_site_label
_atom_site_fract_x
_atom_site_fract_y
_atom_site_fract_z
Be1 0.0000 0.0000 0.0000
In1 0.6667 0.3333 0.4763
Sb1 0.3333 0.6667 0.9749

=====

Record 5
# Y2Ag2Cl | Alexandria via LeMat-Bulk | GGA-PBE | optimized geometry
# Formation energy from raw total energies ... -0.615 eV per atom
# DOS(E_F) ... 0.48 states/eV/atom
# Energy ... -4.710 eV per atom
# Magnetization ... 0.0 μB/f.u.
data_Y2Ag2Cl
_chemical_formula_sum 'Y4 Ag4 Cl2'
_space_group_name_H-M_alt 'P 4/m b m'
_space_group_IT_number 127
_space_group_name_Hall '-P 4 2ab'
_cell_length_a 7.626
_cell_length_b 7.626
_cell_length_c 4.336
_cell_angle_alpha 90.00
_cell_angle_beta 90.00
_cell_angle_gamma 90.00
loop_
_atom_site_label
_atom_site_fract_x
_atom_site_fract_y
_atom_site_fract_z
Y1 0.169 0.331 0.000
Ag1 0.128 0.628 0.500
Cl1 0.000 0.000 0.000

=====

Record 6
# BCI2 | Alexandria via LeMat-Bulk | GGA-PBE | optimized geometry
# Formation energy from raw total energies ... 2.202 eV per atom
# DOS(E_F) ... 0.41 states/eV/atom
# Energy ... -2.549 eV per atom
# ΔE to the lowest computed polymorph ... 0 meV/atom
# Magnetization ... 0.0 μB/f.u.
data_BCI2
_chemical_formula_sum 'B4 C4 I8'
_space_group_name_H-M_alt 'I -4 2 d'
_space_group_IT_number 122
_space_group_name_Hall 'I -4 2bw'
_cell_length_a 5.070
_cell_length_b 5.070
_cell_length_c 14.299
_cell_angle_alpha 90.00
_cell_angle_beta 90.00
_cell_angle_gamma 90.00
loop_
_atom_site_label
_atom_site_fract_x
_atom_site_fract_y
_atom_site_fract_z
B1 0.000 0.000 0.000
C1 0.000 0.000 0.500
I1 0.244 0.250 0.625

=====

Record 7
# CaNbCrTe2 | Alexandria via LeMat-Bulk | GGA-PBE | optimized geometry
# Formation energy from raw total energies ... 1.139 eV per atom
# DOS(E_F) ... 1.51 states/eV/atom
# Energy ... -4.456 eV per atom
# Magnetization ... 0.2 μB/f.u.
data_CaNbCrTe2
_chemical_formula_sum 'Ca1 Nb1 Cr1 Te2'
_space_group_name_H-M_alt 'P 4/m m m'
_space_group_IT_number 123
_space_group_name_Hall '-P 4 2'
_cell_length_a 5.366
_cell_length_b 5.366
_cell_length_c 5.508
_cell_angle_alpha 90.00
_cell_angle_beta 90.00
_cell_angle_gamma 90.00
loop_
_atom_site_label
_atom_site_fract_x
_atom_site_fract_y
_atom_site_fract_z
Ca1 0.000 0.000 0.000
Nb1 0.000 0.000 0.500
Cr1 0.500 0.500 0.000
Te1 0.000 0.500 0.500

=====

Record 8
# CaPa2Pt4 | Alexandria via LeMat-Bulk | GGA-PBE | optimized geometry
# DOS(E_F) ... 0.97 states/eV/atom
# Energy ... -7.244 eV per atom
# DFT formation energy ... -793 meV/atom
# Magnetization ... 0.0 μB/f.u.
data_CaPa2Pt4
_chemical_formula_sum 'Ca4 Pa8 Pt16'
_space_group_name_H-M_alt 'C m c m'
_space_group_IT_number 63
_space_group_name_Hall '-C 2c 2'
_cell_length_a 4.395
_cell_length_b 15.584
_cell_length_c 9.074
_cell_angle_alpha 90.00
_cell_angle_beta 90.00
_cell_angle_gamma 90.00
loop_
_atom_site_label
_atom_site_fract_x
_atom_site_fract_y
_atom_site_fract_z
Ca1 0.000 0.163 0.250
Pa1 0.000 0.387 0.055
Pt1 0.000 0.000 0.000
Pt2 0.000 0.222 0.597
Pt3 0.000 0.468 0.750

=====

Record 9
# Hf2ScTi | Alexandria via LeMat-Bulk | GGA-PBE | optimized geometry
# DOS(E_F) ... 1.59 states/eV/atom
# Energy ... -8.430 eV per atom
# DFT formation energy ... 103 meV/atom
# ΔE to the lowest computed polymorph ... 33 meV/atom
# Magnetization ... 0.0 μB/f.u.
data_Hf2ScTi
_chemical_formula_sum 'Hf6 Sc3 Ti3'
_space_group_name_H-M_alt 'R -3 m'
_space_group_IT_number 166
_space_group_name_Hall '-R 3 2"'
_cell_length_a 3.1183
_cell_length_b 3.1183
_cell_length_c 30.5951
_cell_angle_alpha 90.00
_cell_angle_beta 90.00
_cell_angle_gamma 120.00
loop_
_atom_site_label
_atom_site_fract_x
_atom_site_fract_y
_atom_site_fract_z
Hf1 0.0000 0.0000 0.2454
Sc1 0.0000 0.0000 0.0000
Ti1 0.0000 0.0000 0.5000

=====

Record 10
# Tb4AsSe3 | Alexandria via LeMat-Bulk | GGA-PBE | optimized geometry
# Formation energy from raw total energies ... -1.758 eV per atom
# DOS(E_F) ... 0.32 states/eV/atom
# Energy ... -5.961 eV per atom
# Magnetization ... 0.0 μB/f.u.
data_Tb4AsSe3
_chemical_formula_sum 'Tb8 As2 Se6'
_space_group_name_H-M_alt 'C m m m'
_space_group_IT_number 65
_space_group_name_Hall '-C 2 2'
_cell_length_a 8.245
_cell_length_b 11.619
_cell_length_c 4.100
_cell_angle_alpha 90.00
_cell_angle_beta 90.00
_cell_angle_gamma 90.00
loop_
_atom_site_label
_atom_site_fract_x
_atom_site_fract_y
_atom_site_fract_z
Tb1 0.000 0.244 0.000
Tb2 0.240 0.000 0.500
As1 0.000 0.000 0.000
Se1 0.000 0.500 0.000
Se2 0.250 0.250 0.500

=====

Record 11
# YMg3Sb | Alexandria via LeMat-Bulk | GGA-PBE | optimized geometry
# Formation energy from raw total energies ... 0.325 eV per atom
# DOS(E_F) ... 0.67 states/eV/atom
# Energy ... -2.749 eV per atom
# ΔE to the lowest computed polymorph ... 0 meV/atom
# Magnetization ... 0.0 μB/f.u.
data_YMg3Sb
_chemical_formula_sum 'Y1 Mg3 Sb1'
_space_group_name_H-M_alt 'P m -3 m'
_space_group_IT_number 221
_space_group_name_Hall '-P 4 2 3'
_cell_length_a 5.399
_cell_length_b 5.399
_cell_length_c 5.399
_cell_angle_alpha 90.00
_cell_angle_beta 90.00
_cell_angle_gamma 90.00
loop_
_atom_site_label
_atom_site_fract_x
_atom_site_fract_y
_atom_site_fract_z
Y1 0.000 0.000 0.000
Mg1 0.000 0.500 0.500
Sb1 0.500 0.500 0.500

=====

Record 12
# Cs2Ce2USe6 | Alexandria via LeMat-Bulk | GGA-PBE | optimized geometry
# Formation energy from raw total energies ... -1.555 eV per atom
# DOS(E_F) ... 1.79 states/eV/atom
# Energy ... -5.716 eV per atom
# Magnetization ... 4.0 μB/f.u.
data_Cs2Ce2USe6
_chemical_formula_sum 'Cs4 Ce4 U2 Se12'
_space_group_name_H-M_alt 'C 1 2/m 1'
_space_group_IT_number 12
_cell_length_a 7.477
_cell_length_b 12.897
_cell_length_c 8.917
_cell_angle_alpha 90.00
_cell_angle_beta 106.44
_cell_angle_gamma 90.00
loop_
_space_group_symop_operation_xyz
'x,y,z'
'-x,-y,-z'
'-x,y,-z'
'x,-y,z'
'x+1/2,y+1/2,z'
'-x+1/2,-y+1/2,-z'
'-x+1/2,y+1/2,-z'
'x+1/2,-y+1/2,z'
loop_
_atom_site_label
_atom_site_fract_x
_atom_site_fract_y
_atom_site_fract_z
Cs1 0.000 0.169 0.000
Ce1 0.000 0.334 0.500
U1 0.000 0.000 0.500
Se1 0.224 0.163 0.682
Se2 0.239 0.500 0.683